A plane-wave DFT calculation with PBE was carried out for Ni13W16 after structural relaxation. Values from VASP.

Quantum ESPRESSO input file:
```
&SYSTEM
  ibrav = 0, nat = 29, ntyp = 2
/
ATOMIC_SPECIES
W 183.84 W.upf
Ni 58.69 Ni.upf
ATOMIC_POSITIONS angstrom
W -1.3238 3.7536 2.3504
W 1.1662 3.0433 3.4147
W -1.1296 -3.9023 3.4921
W -3.6845 2.6149 1.3669
W -5.3005 0.3859 0.8594
W 0.9414 5.0814 1.5087
W 3.5463 3.3735 2.1775
W -1.6574 -1.3503 4.2085
W 0.9787 -1.9799 4.9096
W -3.5272 0.3251 2.9698
W 2.9685 1.1162 4.3503
W -1.0361 1.0689 2.2308
W -2.4769 4.7795 0.0656
W 0.2581 0.6594 4.5678
W -4.4865 2.6640 -1.2136
W -3.8720 -2.4083 2.8619
Ni -1.9007 -1.4101 1.5941
Ni -3.2304 2.7750 3.8685
Ni 0.3796 -1.2087 2.5568
Ni 0.0000 0.0000 0.0000
Ni -0.9501 2.9764 4.8311
Ni -1.4504 6.2875 2.1201
Ni 0.6952 2.6290 0.8643
Ni -2.2775 0.9110 5.2043
Ni -5.8713 -0.5915 3.3630
Ni -1.4840 2.4366 -0.0556
Ni -2.8113 0.3712 0.3176
Ni 1.6481 0.7650 2.2001
Ni 1.7235 0.0793 6.5692
CELL_PARAMETERS angstrom
5.3217 5.0623 3.2676
-6.7325 3.9977 -1.8212
-1.6950 -5.8559 5.2403
```

E (hartree per atom): -0.3473
ΔH_f (0 K) (eV/atom): 0.20
Relative energy among the computed polymorphs (meV per atom): 0
Size of the total moment (μB/atom): 0.0005